(1)
VASP calculation (PBE-GGA) on a relaxed structure of Sm3In3Ni2Pd.

Values from the calculation:
Calculated total energy ... -4.873 eV per atom
Size of the total moment ... 0.14 μB/f.u.
Space-group type ... P-62m, No. 189

a b c (Å): 7.5431 7.5431 3.9780
angles (deg): 90.00 90.00 120.00
Atoms (fractional coordinates):
Sm1 0.0000 0.5860 0.0000
Sm2 0.4140 0.4140 0.0000
Sm3 0.5860 0.0000 0.0000
In1 0.0000 0.2592 0.5000
In2 0.2592 0.0000 0.5000
In3 0.7408 0.7408 0.5000
Ni1 0.3333 0.6667 0.5000
Ni2 0.6667 0.3333 0.5000
Pd1 0.0000 0.0000 0.0000

(2)
VASP calculation (PBE-GGA) on a relaxed structure of Ta2Os2O5.

Values from the calculation:
Calculated total energy ... -8.486 eV per atom
Offset from the most stable computed form ... 2.36 kcal/mol of atoms
Size of the total moment ... 3.30 μB/f.u.
Space-group type ... P4/mmm, No. 123

a b c (Å): 3.4304 3.4304 8.7599
angles (deg): 90.00 90.00 90.00
Atoms (fractional coordinates):
Ta1 0.0000 0.0000 0.1886
Ta2 0.0000 0.0000 0.8114
Os1 0.5000 0.5000 0.0000
Os2 0.5000 0.5000 0.5000
O1 0.0000 0.0000 0.5000
O2 0.0000 0.5000 0.2985
O3 0.0000 0.5000 0.7015
O4 0.5000 0.0000 0.2985
O5 0.5000 0.0000 0.7015

(3)
VASP calculation (PBE-GGA) on a relaxed structure of YIn2Pt.

Values from the calculation:
Calculated total energy ... -5.049 eV per atom
Size of the total moment ... 0.00 μB/f.u.
Space-group type ... F-43m, No. 216

a b c (Å): 4.9715 4.9715 4.9715
angles (deg): 60.00 60.00 60.00
Atoms (fractional coordinates):
Y1 0.0000 0.0000 0.0000
In1 0.2500 0.2500 0.2500
In2 0.5000 0.5000 0.5000
Pt1 0.7500 0.7500 0.7500

(4)
VASP calculation (PBE-GGA) on a relaxed structure of In4OsPt.

Values from the calculation:
Calculated total energy ... -4.540 eV per atom
Size of the total moment ... 0.01 μB/f.u.
Space-group type ... Cmmm, No. 65

a b c (Å): 6.2430 6.2430 4.0225
angles (deg): 90.00 90.00 90.49
Atoms (fractional coordinates):
In1 0.2057 0.7943 0.0000
In2 0.3006 0.3006 0.5000
In3 0.6994 0.6994 0.5000
In4 0.7943 0.2057 0.0000
Os1 0.5000 0.5000 0.0000
Pt1 0.0000 0.0000 0.5000

(5)
VASP calculation (PBE-GGA) on a relaxed structure of Na4GaGeAu2.

Values from the calculation:
Calculated total energy ... -2.616 eV per atom
Space-group type ... P-4m2, No. 115

a b c (Å): 4.8458 4.8458 6.8542
angles (deg): 90.00 90.00 90.00
Atoms (fractional coordinates):
Na1 0.0000 0.0000 0.0000
Na2 0.0000 0.5000 0.7493
Na3 0.5000 0.0000 0.2507
Na4 0.5000 0.5000 0.5000
Ga1 0.5000 0.5000 0.0000
Ge1 0.0000 0.0000 0.5000
Au1 0.0000 0.5000 0.2492
Au2 0.5000 0.0000 0.7508

(6)
VASP calculation (PBE-GGA) on a relaxed structure of CuSiIrW.

Values from the calculation:
Calculated total energy ... -7.630 eV per atom
Offset from the most stable computed form ... 0.00 kcal/mol of atoms
Size of the total moment ... 0.00 μB/f.u.
Space-group type ... F-43m, No. 216

a b c (Å): 4.3024 4.3024 4.3024
angles (deg): 60.00 60.00 60.00
Atoms (fractional coordinates):
Cu1 0.0000 0.0000 0.0000
Si1 0.7500 0.7500 0.7500
Ir1 0.2500 0.2500 0.2500
W1 0.5000 0.5000 0.5000

(7)
VASP calculation (PBE-GGA) on a relaxed structure of ErCl.

Values from the calculation:
Calculated total energy ... -4.002 eV per atom
Size of the total moment ... 0.02 μB/f.u.
Space-group type ... F-43m, No. 216

a b c (Å): 4.3427 4.3427 4.3427
angles (deg): 60.00 60.00 60.00
Atoms (fractional coordinates):
Er1 0.0000 0.0000 0.0000
Cl1 0.2500 0.2500 0.2500

(8)
VASP calculation (PBE-GGA) on a relaxed structure of NdSmZr2P2.

Values from the calculation:
Calculated total energy ... -7.264 eV per atom
Size of the total moment ... 0.66 μB/f.u.
Space-group type ... I4mm, No. 107

a b c (Å): 8.4761 8.4761 8.4761
angles (deg): 152.13 152.13 39.82
Atoms (fractional coordinates):
Nd1 0.0000 0.0000 0.0000
Sm1 0.3551 0.3551 0.0000
Zr1 0.1786 0.6786 0.5000
Zr2 0.6786 0.1786 0.5000
P1 0.5539 0.5539 0.0000
P2 0.8033 0.8033 0.0000

(9)
VASP calculation (PBE-GGA) on a relaxed structure of DyYC2.

Values from the calculation:
Calculated total energy ... -7.377 eV per atom
Size of the total moment ... 0.00 μB/f.u.
Space-group type ... Amm2, No. 38

a b c (Å): 3.9053 4.3915 4.3915
angles (deg): 79.89 90.00 90.00
Atoms (fractional coordinates):
Dy1 0.0000 0.0000 0.0000
Y1 0.5000 0.5612 0.5612
C1 0.0000 0.2265 0.4729
C2 0.0000 0.4729 0.2265

(10)
VASP calculation (PBE-GGA) on a relaxed structure of GdHgSO.

Values from the calculation:
Calculated total energy ... -4.887 eV per atom
Offset from the most stable computed form ... 10.49 kcal/mol of atoms
Size of the total moment ... 0.00 μB/f.u.
Space-group type ... Pca2_1, No. 29

a b c (Å): 7.9454 8.7384 5.3945
angles (deg): 90.00 90.00 90.00
Atoms (fractional coordinates):
Gd1 0.0636 0.1713 0.0000
Gd2 0.4364 0.1713 0.5000
Gd3 0.5636 0.8287 0.0000
Gd4 0.9364 0.8287 0.5000
Hg1 0.1633 0.6096 0.9205
Hg2 0.3367 0.6096 0.4205
Hg3 0.6633 0.3904 0.9205
Hg4 0.8367 0.3904 0.4205
S1 0.0993 0.1136 0.5019
S2 0.4007 0.1136 0.0019
S3 0.5993 0.8864 0.5019
S4 0.9007 0.8864 0.0019
O1 0.0176 0.4009 0.0483
O2 0.4824 0.4009 0.5483
O3 0.5176 0.5991 0.0483
O4 0.9824 0.5991 0.5483

(11)
VASP calculation (PBE-GGA) on a relaxed structure of SrTbAsO.

Values from the calculation:
Calculated total energy ... -5.958 eV per atom
Offset from the most stable computed form ... 2.93 kcal/mol of atoms
Size of the total moment ... 0.00 μB/f.u.
Space-group type ... Pmc2_1, No. 26

a b c (Å): 4.1188 6.6669 7.2229
angles (deg): 90.00 90.00 90.00
Atoms (fractional coordinates):
Sr1 0.0000 0.0513 0.0000
Sr2 0.0000 0.9487 0.5000
Tb1 0.5000 0.3687 0.3447
Tb2 0.5000 0.6313 0.8447
As1 0.5000 0.2306 0.7218
As2 0.5000 0.7694 0.2218
O1 0.0000 0.2578 0.2819
O2 0.0000 0.7422 0.7819

(12)
VASP calculation (PBE-GGA) on a relaxed structure of DyZnInO3.

Values from the calculation:
Calculated total energy ... -5.202 eV per atom
Size of the total moment ... 0.00 μB/f.u.
Space-group type ... Cmcm, No. 63

a b c (Å): 8.5578 8.5578 6.5972
angles (deg): 90.00 90.00 158.82
Atoms (fractional coordinates):
Dy1 0.0000 0.0000 0.0000
Dy2 0.0000 0.0000 0.5000
Zn1 0.3755 0.6245 0.7500
Zn2 0.6245 0.3755 0.2500
In1 0.3152 0.6848 0.2500
In2 0.6848 0.3152 0.7500
O1 0.1245 0.8755 0.5396
O2 0.1245 0.8755 0.9604
O3 0.2658 0.7342 0.7500
O4 0.7342 0.2658 0.2500
O5 0.8755 0.1245 0.0396
O6 0.8755 0.1245 0.4604